Record 1
A plane-wave DFT calculation with PBE was carried out for crystalline NaTi2Ag2 at its relaxed geometry.

Unit cell a=8.4036 b=8.4036 c=2.7819 alpha=90.00 beta=90.00 gamma=90.00
Last column: magnetic moment on the atom in μB.
Fractional positions:
Ag  0.8223  0.6777  0.0000  0.00
Ag  0.1777  0.3223  0.0000  0.00
Ag  0.3223  0.8223  0.0000  0.00
Ag  0.6777  0.1777  0.0000  0.00
Ti  0.8849  0.3849  0.5000  0.06
Ti  0.6151  0.8849  0.5000  0.07
Ti  0.1151  0.6151  0.5000  0.06
Ti  0.3849  0.1151  0.5000  0.07
Na  0.5000  0.5000  0.0000  0.00
Na  0.0000  0.0000  0.0000  0.00

Output
As for the space group: P4/mbm, No. 127. Its offset from the most stable computed form is 0.006 eV/atom. The uncorrected energy comes out at -0.159 hartree per atom. Its formation energy is 246 meV/atom. The density of states at the Fermi level comes out at 1.11 states/eV/atom. The total magnetization comes out at 0.03 μB/atom.



Record 2
A plane-wave DFT calculation with PBE was carried out for crystalline Tl2RuSe at its relaxed geometry.

Unit cell a=7.9221 b=7.9221 c=7.9221 alpha=27.14 beta=27.14 gamma=27.14
Fractional positions:
Tl  0.9963  0.9963  0.9963
Tl  0.5037  0.5037  0.5037
Ru  0.2500  0.2500  0.2500
Se  0.7500  0.7500  0.7500

Output
As for the space group: R-3m, No. 166. Its offset from the most stable computed form is 0.395 eV/atom. The uncorrected energy comes out at -0.143 hartree per atom. The formation energy (no corrections) comes out at 0.469 eV per atom. The density of states at the Fermi level comes out at 0.96 states/eV/atom. The total magnetization comes out at 0.00 μB/atom.



Record 3
A plane-wave DFT calculation with PBE was carried out for crystalline Zn5SbPd6 at its relaxed geometry.

Unit cell a=4.2723 b=6.6291 c=6.7200 alpha=90.00 beta=106.24 gamma=90.00
Fractional positions:
Pd  0.1701  0.2553  0.3361
Pd  0.5000  0.7352  0.0000
Pd  0.8299  0.2553  0.6639
Pd  0.8299  0.7447  0.6639
Pd  0.1701  0.7447  0.3361
Pd  0.5000  0.2648  0.0000
Zn  0.3304  0.5000  0.6634
Zn  0.0000  0.5000  0.0000
Zn  0.6730  0.0000  0.3464
Zn  0.6696  0.5000  0.3366
Zn  0.3270  0.0000  0.6536
Sb  0.0000  0.0000  0.0000

Output
As for the space group: P2/m, No. 10. The uncorrected energy comes out at -0.145 hartree per atom. The formation energy (no corrections) comes out at -0.487 eV per atom. The density of states at the Fermi level comes out at 0.36 states/eV/atom. The total magnetization comes out at 0.00 μB/atom.



Record 4
A plane-wave DFT calculation with PBE was carried out for crystalline OsPt8Rh2 at its relaxed geometry.

Unit cell a=4.6002 b=6.8417 c=6.8419 alpha=63.66 beta=80.14 gamma=80.14
Fractional positions:
Pt  0.8995  0.2271  0.2271
Pt  0.6630  0.6460  0.6459
Pt  0.7934  0.2410  0.6179
Pt  0.2066  0.3821  0.7590
Pt  0.7934  0.6179  0.2410
Pt  0.2066  0.7590  0.3821
Pt  0.1005  0.7729  0.7729
Pt  0.3370  0.3540  0.3541
Os  0.0000  0.0000  0.0000
Rh  0.4598  0.1163  0.1163
Rh  0.5402  0.8837  0.8837

Output
As for the space group: C2/m, No. 12. The uncorrected energy comes out at -0.235 hartree per atom. Its formation energy is 349 meV/atom. The density of states at the Fermi level comes out at 1.66 states/eV/atom. The total magnetization comes out at 0.00 μB/atom.



Record 5
A plane-wave DFT calculation with PBE was carried out for crystalline VReSiNi at its relaxed geometry.

Unit cell a=4.1672 b=4.1672 c=4.1672 alpha=60.00 beta=60.00 gamma=60.00
Last column: magnetic moment on the atom in μB.
Fractional positions:
V  0.2500  0.2500  0.2500  0.17
Re  0.0000  0.0000  0.0000  -0.03
Si  0.7500  0.7500  0.7500  0.00
Ni  0.5000  0.5000  0.5000  0.09

Output
As for the space group: F-43m, No. 216. The uncorrected energy comes out at -0.311 hartree per atom. The formation energy (no corrections) comes out at -0.265 eV per atom. The density of states at the Fermi level comes out at 1.09 states/eV/atom. The total magnetization comes out at 0.06 μB/atom.



Record 6
A plane-wave DFT calculation with PBE was carried out for crystalline SiNiTe at its relaxed geometry.

Unit cell a=3.7912 b=3.7912 c=4.8614 alpha=90.00 beta=90.00 gamma=120.00
Fractional positions:
Si  0.6667  0.3333  0.1936
Te  0.3333  0.6667  0.7637
Ni  0.0000  0.0000  0.0427

Output
As for the space group: P3m1, No. 156. Its offset from the most stable computed form is 0.169 eV/atom. The uncorrected energy comes out at -0.177 hartree per atom. The formation energy (no corrections) comes out at -0.021 eV per atom. The density of states at the Fermi level comes out at 0.31 states/eV/atom. The total magnetization comes out at 0.00 μB/atom.



Record 7
A plane-wave DFT calculation with PBE was carried out for crystalline Y6HgS4 at its relaxed geometry.

Unit cell a=3.9486 b=6.8101 c=20.1358 alpha=90.00 beta=90.00 gamma=106.85
Fractional positions:
S  0.8626  0.7252  0.5397
S  0.5936  0.1873  0.8781
S  0.8626  0.7252  0.9603
S  0.5936  0.1873  0.6219
S  0.1374  0.2748  0.4603
S  0.4064  0.8127  0.1219
S  0.1374  0.2748  0.0397
S  0.4064  0.8127  0.3781
Y  0.5000  0.0000  0.5000
Y  0.0405  0.0809  0.3404
Y  0.3385  0.6769  0.2500
Y  0.5000  0.0000  0.0000
Y  0.6615  0.3231  0.7500
Y  0.7714  0.5428  0.0841
Y  0.7714  0.5428  0.4159
Y  0.9595  0.9191  0.6596
Y  0.2286  0.4572  0.5841
Y  0.2286  0.4572  0.9159
Y  0.0405  0.0809  0.1596
Y  0.9595  0.9191  0.8404
Hg  0.6595  0.3190  0.2500
Hg  0.3405  0.6810  0.7500

Output
As for the space group: Cmcm, No. 63. The uncorrected energy comes out at -0.244 hartree per atom. The formation energy (no corrections) comes out at -1.592 eV per atom. The density of states at the Fermi level comes out at 0.47 states/eV/atom. The total magnetization comes out at 0.00 μB/atom.



Record 8
A plane-wave DFT calculation with PBE was carried out for crystalline BaNi2Se at its relaxed geometry.

Unit cell a=6.0650 b=6.0650 c=6.0650 alpha=40.44 beta=40.44 gamma=40.44
Fractional positions:
Ba  0.7470  0.7470  0.7470
Ni  0.2558  0.2558  0.2558
Ni  0.9416  0.9416  0.9416
Se  0.5556  0.5556  0.5556

Output
As for the space group: R3m, No. 160. The uncorrected energy comes out at -0.171 hartree per atom. The formation energy (no corrections) comes out at -0.408 eV per atom. The density of states at the Fermi level comes out at 0.58 states/eV/atom. The total magnetization comes out at 0.00 μB/atom.